Here is Ti7V2Ga2 after structural relaxation from Alexandria. Energies are from GGA-PBE.

a = 5.5790 Å, b = 6.7932 Å, c = 5.5790 Å
α = 90.00°, β = 114.52°, γ = 90.00°
Fractional coordinates of all 11 atoms:
Ti1 0.5000 0.7122 0.0000
Ti2 0.0000 0.7122 0.5000
V1 0.6920 0.0000 0.3080
Ti3 0.5000 0.7589 0.5000
Ti4 0.0000 0.0000 0.0000
Ti5 0.0000 0.2878 0.5000
Ti6 0.5000 0.2411 0.5000
Ga1 0.8078 0.5000 0.8078
Ga2 0.1922 0.5000 0.1922
V2 0.3080 0.0000 0.6920
Ti7 0.5000 0.2878 0.0000

- Formation enthalpy at 0 K: 0.216 eV per atom
- Magnetization: 0.000 μB per atom
- SG: No. 65
- Total energy: -7.02 eV/atom